(1)
AgHgTe2 | PBE | relaxed

Properties
Energy relative to the elements, uncorrected (eV/atom): 0.185

Cell: 3.8845 3.8845 7.7141 Å, 90.00 90.00 90.00°
Closest atoms and distances in Å follow each position.
Space group P4/mmm (No. 123)
Unique sites:
Ag: 0.0000 0.0000 0.0000  8 Te 3.09
Hg: 0.0000 0.0000 0.5000  8 Te 3.67, 2 Ag 3.86, 4 Hg 3.88
Te: 0.5000 0.5000 0.1844  1 Te 2.84, 4 Ag 3.09

---

(2)
CsTaI5 | PBE | relaxed

Properties
Energy relative to the elements, uncorrected (eV/atom): -0.664

Cell: 14.6952 13.4734 10.0055 Å, 90.00 132.56 90.00°
Closest atoms and distances in Å follow each position.
Space group C2/c (No. 15)
Unique sites:
Cs: 0.0000 0.1199 0.2500  7 I 3.89-4.21
Ta: 0.2500 0.2500 0.0000  6 I 2.73-2.89
I: 0.0000 0.1756 0.7500  2 Ta 2.89
I: 0.1784 0.4442 0.9175  1 Ta 2.73
I: 0.2446 0.2578 0.2762  1 Ta 2.82

---

(3)
La2ZrAs2 | PBE | relaxed

Properties
DFT formation energy (eV per atom): -1.0646

Cell: 7.7709 7.7709 4.2511 Å, 90.00 90.00 90.00°
Closest atoms and distances in Å follow each position.
Space group P4/mbm (No. 127)
Unique sites:
La: 0.1519 0.3481 0.0000  6 As 2.97-3.22
Zr: 0.0000 0.0000 0.5000  4 As 2.92
As: 0.1595 0.6595 0.5000  2 Zr 2.92, 6 La 2.97-3.22

---

(4)
Ni2AsRh | PBE | relaxed

Properties
DFT formation energy (eV per atom): -0.0901

Cell: 2.8395 3.7307 5.1161 Å, 90.00 106.07 90.00°
Closest atoms and distances in Å follow each position.
Space group Pm (No. 6)
Unique sites:
Ni: 0.0000 0.0000 0.0000  1 As 2.47, 4 Ni 2.57-2.58, 4 Rh 2.76-2.77
Ni: 0.3925 0.5000 0.7830  2 As 2.32, 1 Rh 2.53, 4 Ni 2.57-2.58
As: 0.2496 0.0000 0.5029  3 Ni 2.32-2.47, 4 Rh 2.55
Rh: 0.6483 0.5000 0.2983  7 Ni 2.53-2.78, 4 As 2.55

---

(5)
Sr2MoI | PBE | relaxed

Properties
Energy relative to the elements, uncorrected (eV/atom): 0.475
Energy above the lowest structure with this stoichiometry (meV per atom): 0

Cell: 8.2379 8.2379 8.2379 Å, 90.00 90.00 90.00°
Closest atoms and distances in Å follow each position.
Space group Fm-3m (No. 225)
Unique sites:
Sr: 0.2500 0.2500 0.2500  4 Mo 3.57, 4 I 3.57
Mo: 0.0000 0.0000 0.0000  8 Sr 3.57
I: 0.0000 0.0000 0.5000  8 Sr 3.57

---

(6)
Ce2Ni12Ge3Rh | PBE | relaxed

Properties
DFT formation energy (eV per atom): -0.0815

Cell: 8.4525 8.4525 12.1722 Å, 90.00 90.00 120.00°
Closest atoms and distances in Å follow each position.
Space group R-3m (No. 166, hexagonal axes)
Unique sites:
Ce: 0.0000 0.0000 0.1639  3 Ni 2.44
Ni: 0.0037 0.5018 0.3925  4 Ni 2.37-2.62, 2 Ge 2.53
Ni: 0.0036 0.5018 0.8022  5 Ni 2.37-2.61, 1 Ge 2.41, 1 Ce 2.44, 1 Rh 2.50
Ge: 0.0000 0.5000 0.0000  6 Ni 2.41-2.53
Rh: 0.0000 0.0000 0.5000  6 Ni 2.50

---

(7)
MnCrGeCl2 | PBE | relaxed

Properties
Energy relative to the elements, uncorrected (eV/atom): 0.159

Cell: 4.5847 4.5847 5.3564 Å, 90.00 90.00 90.00°
Closest atoms and distances in Å follow each position.
Space group P4/mmm (No. 123)
Unique sites:
Mn: 0.0000 0.0000 0.0000  4 Ge 3.24, 8 Cl 3.53
Cr: 0.5000 0.5000 0.5000  4 Cl 2.29
Ge: 0.5000 0.5000 0.0000  2 Cr 2.68
Cl: 0.0000 0.5000 0.5000  2 Cr 2.29

---

(8)
LiAg5Pd4 | PBE | relaxed

Properties
DFT formation energy (eV per atom): -0.0112
Energy above the lowest structure with this stoichiometry (meV per atom): 54

Cell: 14.0572 4.1373 6.7861 Å, 90.00 117.51 90.00°
Closest atoms and distances in Å follow each position.
Space group C2/m (No. 12)
Unique sites:
Li: 0.0000 0.0000 0.0000  6 Pd 2.52-2.71
Ag: 0.0000 0.0000 0.5000  6 Pd 2.79-2.87, 4 Ag 2.85
Ag: 0.1555 0.5000 0.6874  5 Pd 2.76-2.90, 5 Ag 2.78-2.85
Ag: 0.1901 0.5000 0.1248  3 Ag 2.78-2.84, 5 Pd 2.79-2.90
Pd: 0.0199 0.5000 0.2286  2 Li 2.52, 4 Ag 2.78-2.82
Pd: 0.1734 0.0000 0.4062  1 Li 2.71, 7 Ag 2.76-2.90, 4 Pd 2.83

---

Calculated energy, -0.0799; -0.1318; -0.2427; -0.2198; -0.1272; -0.2122; -0.1933; -0.1362 hartree per atom (same order as the records).